[1]
First-principles (GGA-PBEsol) data for crystalline ReTc3H at its relaxed geometry, as listed in Alexandria via LeMat-Bulk.

POSCAR file:
```
ReTc3H
1.0
3.8797 0.0000 0.0000
0.0000 3.8797 0.0000
0.0000 0.0000 3.8797
Re Tc H
1 3 1
direct
0.5000 0.5000 0.5000 Re
0.0000 0.5000 0.0000 Tc
0.0000 0.0000 0.5000 Tc
0.5000 0.0000 0.0000 Tc
0.0000 0.0000 0.0000 H
```

Total magnetization   0.00 μB/f.u.
Offset from the most stable computed form   0.000 eV per atom
Density of states at the Fermi level   0.9094 states/eV per atom
Space-group type   No. 221

---

[2]
First-principles (GGA-PBEsol) data for crystalline Ti3ReH at its relaxed geometry, as listed in Alexandria via LeMat-Bulk.

POSCAR file:
```
Ti3ReH
1.0
-2.1748 0.3699 -3.3325
-0.0813 -3.9767 -0.3883
-3.3519 -0.1435 2.1715
Re H Ti
1 1 3
direct
0.5000 0.5000 0.5000 Re
0.0000 0.0000 0.0000 H
0.0000 0.5000 0.0000 Ti
0.0000 0.0000 0.5000 Ti
0.5000 0.0000 0.0000 Ti
```

Total magnetization   0.00 μB/f.u.
E_tot   -42.3 eV per cell
Density of states at the Fermi level   1.1841 states/eV per atom
Space-group type   No. 221

---

[3]
First-principles (GGA-PBEsol) data for crystalline Ti2ReH2 at its relaxed geometry, as listed in Alexandria via LeMat-Bulk.

POSCAR file:
```
Ti2ReH2
1.0
3.1034 0.0000 0.0000
0.0000 3.1034 0.0000
-1.5517 -1.5517 5.2093
Re H Ti
1 2 2
direct
0.0000 0.0000 0.0000 Re
0.2500 0.7500 0.5000 H
0.7500 0.2500 0.5000 H
0.3557 0.3557 0.7113 Ti
0.6443 0.6443 0.2887 Ti
```

Total magnetization   0.00 μB/f.u.
E_tot   -38.9 eV per cell
Density of states at the Fermi level   0.3483 states/eV per atom
Space-group type   No. 139

---

[4]
First-principles (GGA-PBEsol) data for crystalline Tl3ReH at its relaxed geometry, as listed in Alexandria via LeMat-Bulk.

POSCAR file:
```
Tl3ReH
1.0
-3.4097 2.9183 -0.6976
-0.8925 -1.9945 -3.9817
-2.8647 -2.8521 2.0708
Re Tl H
1 3 1
direct
0.5000 0.5000 0.5000 Re
0.0000 0.5000 0.0000 Tl
0.0000 0.0000 0.5000 Tl
0.5000 0.0000 0.0000 Tl
0.0000 0.0000 0.0000 H
```

Total magnetization   2.23 μB/f.u.
E_tot   -18.9 eV per cell
Density of states at the Fermi level   0.5819 states/eV per atom
Space-group type   No. 221

---

[5]
First-principles (GGA-PBEsol) data for crystalline Tl2ReH at its relaxed geometry, as listed in Alexandria via LeMat-Bulk.

POSCAR file:
```
Tl2ReH
1.0
4.6700 0.0000 0.0000
2.3350 4.0444 0.0000
2.3350 1.3481 3.8131
Re Tl H
1 2 1
direct
0.5000 0.5000 0.5000 Re
0.2500 0.2500 0.2500 Tl
0.7500 0.7500 0.7500 Tl
0.0000 0.0000 0.0000 H
```

Total magnetization   2.44 μB/f.u.
E_tot   -16.2 eV per cell
Density of states at the Fermi level   0.7865 states/eV per atom
Space-group type   No. 225

---

[6]
First-principles (GGA-PBEsol) data for crystalline TlReHW2 at its relaxed geometry, as listed in Alexandria via LeMat-Bulk.

POSCAR file:
```
TlReHW2
1.0
-1.4950 1.2801 -2.4187
-4.2819 0.1092 2.7044
1.1949 4.6178 1.7055
Re Tl W H
1 1 2 1
direct
0.5000 0.5000 0.5000 Re
0.0000 0.0000 0.0000 Tl
0.0000 0.0000 0.5000 W
0.0000 0.5000 0.0000 W
0.5000 0.0000 0.0000 H
```

Total magnetization   0.00 μB/f.u.
E_tot   -36.3 eV per cell
Density of states at the Fermi level   0.9930 states/eV per atom
Space-group type   No. 123

---

[7]
First-principles (GGA-PBEsol) data for crystalline ReH3W at its relaxed geometry, as listed in Alexandria via LeMat-Bulk.

POSCAR file:
```
ReH3W
1.0
3.4198 0.0000 0.0000
0.0000 3.4198 0.0000
0.0000 0.0000 3.4198
Re W H
1 1 3
direct
0.0000 0.0000 0.0000 Re
0.5000 0.5000 0.5000 W
0.0000 0.5000 0.0000 H
0.0000 0.0000 0.5000 H
0.5000 0.0000 0.0000 H
```

Total magnetization   0.03 μB/f.u.
E_tot   -33.3 eV per cell
Density of states at the Fermi level   0.8995 states/eV per atom
Space-group type   No. 221

---

[8]
First-principles (GGA-PBEsol) data for crystalline ZnReH2 at its relaxed geometry, as listed in Alexandria via LeMat-Bulk.

POSCAR file:
```
ZnReH2
1.0
-4.0814 0.9862 -0.3491
-0.7418 -1.7368 3.7663
3.1113 3.8943 0.0519
Re Zn H
2 2 4
direct
0.2500 0.7500 0.5000 Re
0.0000 0.0000 0.0000 Re
0.7500 0.2500 0.5000 Zn
0.5000 0.5000 0.0000 Zn
0.3671 0.8750 0.2500 H
0.8829 0.3750 0.2500 H
0.1250 0.1171 0.7500 H
0.6250 0.6329 0.7500 H
```

Total magnetization   0.00 μB/f.u.
E_tot   -39.2 eV per cell
Density of states at the Fermi level   0.4617 states/eV per atom
Space-group type   No. 122

---

[9]
First-principles (GGA-PBEsol) data for crystalline Zr2ReH2 at its relaxed geometry, as listed in Alexandria via LeMat-Bulk.

POSCAR file:
```
Zr2ReH2
1.0
-2.0428 2.2686 1.1625
-2.5204 -1.5746 -1.3562
1.6021 -3.4553 4.9687
Re Zr H
1 2 2
direct
0.0000 0.0000 0.0000 Re
0.3618 0.3618 0.7236 Zr
0.6382 0.6382 0.2764 Zr
0.2500 0.7500 0.5000 H
0.7500 0.2500 0.5000 H
```

Total magnetization   0.00 μB/f.u.
E_tot   -40.5 eV per cell
Density of states at the Fermi level   0.4508 states/eV per atom
Space-group type   No. 139

---

[10]
First-principles (GGA-PBEsol) data for crystalline ZrRe3H at its relaxed geometry, as listed in Alexandria via LeMat-Bulk.

POSCAR file:
```
ZrRe3H
1.0
4.0379 0.0000 0.0000
0.0000 4.0379 0.0000
0.0000 0.0000 4.0379
Re Zr H
3 1 1
direct
0.0000 0.5000 0.0000 Re
0.0000 0.0000 0.5000 Re
0.5000 0.0000 0.0000 Re
0.5000 0.5000 0.5000 Zr
0.0000 0.0000 0.0000 H
```

Total magnetization   0.00 μB/f.u.
E_tot   -51.6 eV per cell
Density of states at the Fermi level   0.8269 states/eV per atom
Space-group type   No. 221

---

[11]
First-principles (GGA-PBEsol) data for crystalline ZrReH3 at its relaxed geometry, as listed in Alexandria via LeMat-Bulk.

POSCAR file:
```
ZrReH3
1.0
-3.1081 -0.0749 -1.7490
1.3295 -2.4196 -2.2589
-1.1390 -2.6200 2.1361
Re Zr H
1 1 3
direct
0.5000 0.5000 0.5000 Re
0.0000 0.0000 0.0000 Zr
0.0000 0.5000 0.0000 H
0.0000 0.0000 0.5000 H
0.5000 0.0000 0.0000 H
```

Total magnetization   0.00 μB/f.u.
E_tot   -29.3 eV per cell
Density of states at the Fermi level   0.4467 states/eV per atom
Space-group type   No. 221

---

[12]
First-principles (GGA-PBEsol) data for crystalline HRh at its relaxed geometry, as listed in Alexandria via LeMat-Bulk.

POSCAR file:
```
HRh
1.0
2.8160 0.0000 0.0000
1.4080 2.4387 0.0000
1.4080 0.8129 2.2993
H Rh
1 1
direct
0.5000 0.5000 0.5000 H
0.0000 0.0000 0.0000 Rh
```

Total magnetization   0.01 μB/f.u.
E_tot   -11.5 eV per cell
Density of states at the Fermi level   1.2138 states/eV per atom
Space-group type   No. 225

---

What is the density of states at the Fermi level in the eleventh record?
0.4467 states/eV per atom